HfTlFeIr: optimized geometry, GGA-PBE.

a = 4.6449 Å, b = 4.6449 Å, c = 4.6449 Å
α = 60.00°, β = 60.00°, γ = 60.00°
Positions (direct):
Fe (0.7500, 0.7500, 0.7500)
Tl (0.0000, 0.0000, 0.0000)
Hf (0.2500, 0.2500, 0.2500)
Ir (0.5000, 0.5000, 0.5000)

Summary:
E: -7.22 eV/atom
Magnetic moment: 3.225 μB per formula unit
ΔE to the lowest computed polymorph: 83.8 kJ/mol of formula units